(1)
TmZn2Ag6 | Alexandria | PBE-GGA | relaxed; symmetry = C2/c; E = -49.97 eV/cell; ΔE_f = -0.86 eV/f.u.
1.0
-5.506 6.023 3.503
-5.509 -0.225 6.560
0.166 4.560 7.253
Tm Zn Ag
2 4 12
Cartesian
-2.022 5.381 8.030
-8.827 4.977 9.286
-3.876 4.006 10.181
-3.356 4.070 5.488
-6.973 6.353 7.134
-7.493 6.289 11.827
-5.858 5.730 9.843
-7.541 7.811 9.249
-4.991 4.628 7.473
-3.309 2.547 8.066
-4.835 6.426 5.283
-7.344 8.144 13.958
-6.014 3.932 12.032
-3.505 2.214 3.358
-5.145 1.816 5.934
-6.299 2.708 9.222
-5.704 8.542 11.382
-4.551 7.650 8.094

(2)
SbBrCl2 | Alexandria | PBE-GGA | relaxed; symmetry = Cmmm; uncorrected formation energy = -173 meV/atom; E = -10.18 eV/cell; E above lowest polymorph = 599.3 meV/atom
1.0
3.464 -0.007 0.000
-1.529 3.108 0.000
0.000 0.000 11.390
Sb Br Cl
1 1 2
Cartesian
0.967 1.551 2.847
0.967 1.551 8.542
0.000 0.000 0.870
0.000 0.000 4.825

(3)
ReBiBr2 | Alexandria | PBE-GGA | relaxed; symmetry = I-42d; uncorrected formation energy = 519 meV/atom; E = -35.20 eV/cell; E above lowest polymorph = 0.0 meV/atom
1.0
9.081 0.000 0.000
0.000 9.081 0.000
4.540 4.540 2.664
Re Bi Br
2 2 4
Cartesian
4.540 4.540 0.000
4.540 9.081 1.332
0.000 0.000 0.000
9.081 4.540 1.332
5.649 2.270 0.666
3.432 6.810 0.666
6.810 7.972 1.998
11.351 10.189 1.998

(4)
Cu3Se2 | Alexandria | PBE-GGA | relaxed; symmetry = P-42_1m; uncorrected formation energy = -140 meV/atom; E = -39.91 eV/cell
1.0
6.384 0.000 0.000
0.000 6.384 0.000
0.000 0.000 4.373
Cu Se
6 4
Cartesian
0.000 0.000 0.000
3.192 3.192 0.000
4.123 5.453 1.049
2.261 0.931 1.049
5.453 2.261 3.324
0.931 4.123 3.324
1.723 4.915 1.159
4.661 1.469 1.159
4.915 4.661 3.214
1.469 1.723 3.214

(5)
PaNiSnS4 | Alexandria | PBE-GGA | relaxed; symmetry = P2_1/m; uncorrected formation energy = -923 meV/atom; E = -84.50 eV/cell
1.0
6.495 0.000 0.073
0.000 5.659 0.000
-2.448 0.000 7.784
Pa Ni Sn S
2 2 2 8
Cartesian
3.743 4.244 3.522
0.303 1.415 4.336
0.689 4.244 2.693
3.358 1.415 5.164
2.265 4.244 7.479
1.781 1.415 0.379
-1.648 2.883 5.650
5.695 0.053 2.207
5.695 2.776 2.207
-1.648 5.606 5.650
2.425 4.244 1.125
1.622 1.415 6.732
1.345 4.244 4.757
2.702 1.415 3.100

(6)
NiPdRhAu2 | Alexandria | PBE-GGA | relaxed; symmetry = P4/mmm; E = -19.10 eV/cell; ΔE_f = 5.78 eV/f.u.
1.0
-0.139 -4.581 1.990
2.018 -1.621 -3.592
4.445 0.794 2.139
Rh Au Pd Ni
1 2 1 1
Cartesian
0.000 0.000 0.000
2.223 0.397 1.069
-0.069 -2.291 0.995
3.162 -2.704 0.268
1.009 -0.810 -1.796

- What is the formula in the third record?
  ReBiBr2

- E of number 6 (NiPdRhAu2)?
  -19.10 eV/cell

- What is the E in the first record?
  -49.97 eV/cell